## P
PBE-GGA K2HAuSe, optimized geometry; Fermi-level density of states = 0.436 states/eV per atom; M_tot = 0.3 μB per formula unit
1.0
5.845 0.000 0.000
0.000 5.845 0.000
0.000 0.000 3.633
K H Au Se
2 1 1 1
Direct
0.500 0.000 0.000
0.000 0.500 0.000
0.000 0.000 0.000
0.000 0.000 0.500
0.500 0.500 0.500


## Q
PBE-GGA K2HAuSe, optimized geometry; Fermi-level density of states = 0.343 states/eV per atom; M_tot = 0.0 μB per formula unit
1.0
5.179 0.000 0.000
0.000 3.746 0.000
-2.589 -1.873 7.214
H K Au Se
1 2 1 1
Direct
0.670 0.170 0.339
0.246 0.246 0.491
0.959 0.959 0.919
0.646 0.646 0.293
0.462 0.462 0.924


Calculated relative energies: P 0.000; Q 0.088, given in eV/atom